Record 1
Material: YZrAs2
Method: DFT, PBE-GGA
State: relaxed

Cell: 4.9133 4.9133 4.9133 Å, 60.00 60.00 60.00°
Closest atoms and distances in Å follow each position.
Atoms (fractional coordinates):
Y  0.0000  0.0000  0.0000  4 As 3.01, 4 Zr 3.01
Zr  0.2500  0.2500  0.2500  4 As 3.01, 4 Y 3.01
As  0.5000  0.5000  0.5000  4 Zr 3.01, 4 As 3.01
As  0.7500  0.7500  0.7500  4 Y 3.01, 4 As 3.01

Properties
Its space group is No. 216.


Record 2
Material: ZrZn
Method: DFT, PBE-GGA
State: relaxed

Cell: 6.0530 6.0530 4.9037 Å, 90.00 90.00 120.00°
Closest atoms and distances in Å follow each position.
Atoms (fractional coordinates):
Zr  0.0000  0.0000  0.0000  6 Zr 3.01, 6 Zn 3.03
Zr  0.3325  0.1662  0.5000  6 Zn 2.98-3.03, 6 Zr 3.01-3.03
Zr  0.8338  0.1662  0.5000  6 Zn 2.98-3.03, 6 Zr 3.01-3.03
Zr  0.8338  0.6675  0.5000  6 Zn 2.98-3.03, 6 Zr 3.01-3.03
Zn  0.3333  0.6667  0.5000  6 Zr 3.03, 6 Zn 3.08
Zn  0.5104  0.0208  0.0000  4 Zn 2.84-3.08, 6 Zr 2.98-3.03
Zn  0.5104  0.4896  0.0000  4 Zn 2.84-3.08, 6 Zr 2.98-3.03
Zn  0.9792  0.4896  0.0000  4 Zn 2.84-3.08, 6 Zr 2.98-3.03

Properties
As for the energy of formation: 0.33 kcal/mol of atoms. Its space group is No. 187.


Record 3
Material: Tb2Zn3Ni2
Method: DFT, PBE-GGA
State: relaxed

Cell: 5.1629 5.1629 6.9257 Å, 111.61 111.61 46.33°
Closest atoms and distances in Å follow each position.
Atoms (fractional coordinates):
Tb  0.1420  0.1420  0.2708  4 Ni 2.74-2.95, 3 Zn 3.00-3.04
Tb  0.8580  0.8580  0.7292  4 Ni 2.74-2.95, 3 Zn 3.00-3.04
Zn  0.3634  0.3634  0.0593  3 Ni 2.59-2.65, 3 Zn 2.80-2.83
Zn  0.5000  0.5000  0.5000  4 Ni 2.49
Zn  0.6366  0.6366  0.9407  3 Ni 2.59-2.65, 3 Zn 2.80-2.83
Ni  0.1356  0.1356  0.6938  5 Zn 2.49-2.65, 1 Tb 2.74
Ni  0.8644  0.8644  0.3062  5 Zn 2.49-2.65, 1 Tb 2.74

Properties
As for the energy of formation: -10.21 kcal/mol of atoms. Its space group is No. 12.


Record 4
Material: NdLuPt2
Method: DFT, PBE-GGA
State: relaxed

Cell: 5.6088 4.5265 7.0904 Å, 90.00 91.93 90.00°
Closest atoms and distances in Å follow each position.
Atoms (fractional coordinates):
Nd  0.1436  0.2500  0.1866  7 Pt 2.91-3.09
Nd  0.8564  0.7500  0.8134  7 Pt 2.91-3.09
Lu  0.3609  0.2500  0.6798  7 Pt 2.87-3.11
Lu  0.6391  0.7500  0.3202  7 Pt 2.87-3.11
Pt  0.1677  0.7500  0.4666  4 Lu 2.87-3.11, 2 Pt 2.99, 3 Nd 3.01-3.06
Pt  0.3532  0.7500  0.9465  2 Pt 2.89, 4 Nd 2.91-3.09, 3 Lu 2.95-3.05
Pt  0.6468  0.2500  0.0535  2 Pt 2.89, 4 Nd 2.91-3.09, 3 Lu 2.95-3.05
Pt  0.8323  0.2500  0.5334  4 Lu 2.87-3.11, 2 Pt 2.99, 3 Nd 3.01-3.06

Properties
As for the energy of formation: -28.27 kcal/mol of atoms. Its space group is No. 11.


Record 5
Material: NdGdBi2Se2
Method: DFT, PBE-GGA
State: relaxed

Cell: 4.3069 4.3069 9.1173 Å, 90.00 90.00 90.00°
Closest atoms and distances in Å follow each position.
Atoms (fractional coordinates):
Nd  0.0000  0.0000  0.0000  5 Se 2.98-3.12
Gd  0.5000  0.5000  0.3919  5 Se 2.91-3.10
Bi  0.0000  0.5000  0.6933  4 Bi 3.05
Bi  0.5000  0.0000  0.6933  4 Bi 3.05
Se  0.0000  0.0000  0.3272  1 Nd 2.98, 4 Gd 3.10
Se  0.5000  0.5000  0.0726  1 Gd 2.91, 4 Nd 3.12

Properties
Its space group is No. 99.


Record 6
Material: SmDyH4
Method: DFT, PBE-GGA
State: relaxed

Cell: 3.7148 3.7148 5.2618 Å, 90.00 90.00 90.00°
Closest atoms and distances in Å follow each position.
Atoms (fractional coordinates):
Sm  0.0000  0.0000  0.0000  8 H 2.31
Dy  0.5000  0.5000  0.5000  8 H 2.25
H  0.0000  0.5000  0.2600  2 Dy 2.25, 2 Sm 2.31
H  0.0000  0.5000  0.7400  2 Dy 2.25, 2 Sm 2.31
H  0.5000  0.0000  0.2600  2 Dy 2.25, 2 Sm 2.31
H  0.5000  0.0000  0.7400  2 Dy 2.25, 2 Sm 2.31

Properties
Its space group is No. 123.


| no. | electronic total energy (eV/atom) |
| --- | --- |
| 1 | -6.2244 |
| 2 | -4.8916 |
| 3 | -3.8982 |
| 4 | -6.5755 |
| 5 | -5.3285 |
| 6 | -4.4779 |